Entry 1:
An optimized crystal structure of Rb2LaMnTl. Source: Alexandria, functional PBE.

a b c (Å): 7.1608 4.6180 7.1608
angles (deg): 90.00 90.00 90.00
Closest atoms and distances in Å follow each position.
Atoms (fractional coordinates):
Tl 0.5000 0.5000 0.5000  8 Rb 4.26, 2 Tl 4.62
Mn 0.0000 0.5000 0.0000  2 La 2.31
Rb 0.0000 0.0000 0.5000  2 La 3.58
Rb 0.5000 0.0000 0.0000  2 La 3.58
La 0.0000 0.0000 0.0000  2 Mn 2.31

Summary:
The value obtained for the energy of formation from the pure elements is 0.856 eV per atom. For the final energy, the calculation gives -2.82 eV per atom.



Entry 2:
An optimized crystal structure of LaMnRe2. Source: Alexandria, functional PBE.

a b c (Å): 4.3265 4.3265 5.9164
angles (deg): 68.65 68.65 59.98
Closest atoms and distances in Å follow each position.
Atoms (fractional coordinates):
La 0.4983 0.4983 0.5042  4 Mn 3.21-3.31, 4 Re 3.22-3.30
Mn 0.2997 0.2997 0.1015  6 Re 2.57-2.71
Re 0.0037 0.0037 0.9892  3 Re 2.54, 3 Mn 2.57
Re 0.6983 0.6983 0.9051  3 Re 2.54, 3 Mn 2.71

Summary:
The value obtained for the energy of formation from the pure elements is 0.251 eV per atom. For the final energy, the calculation gives -9.50 eV per atom.



Entry 3:
An optimized crystal structure of LaMn2Re2. Source: Alexandria, functional PBE.

a b c (Å): 4.1593 4.1593 5.9354
angles (deg): 69.49 69.49 90.00
Closest atoms and distances in Å follow each position.
Atoms (fractional coordinates):
Re 0.3701 0.3701 0.2597  4 Mn 2.42, 1 Re 2.68
Re 0.6299 0.6299 0.7403  4 Mn 2.42, 1 Re 2.68
Mn 0.7500 0.2500 0.5000  4 Re 2.42
Mn 0.2500 0.7500 0.5000  4 Re 2.42
La 0.0000 0.0000 0.0000  8 Re 3.23, 8 Mn 3.31

Summary:
The value obtained for the energy of formation from the pure elements is 0.190 eV per atom. For the final energy, the calculation gives -9.44 eV per atom.



Entry 4:
An optimized crystal structure of LaMn2Re. Source: Alexandria, functional PBE.

a b c (Å): 7.4585 7.4585 6.0337
angles (deg): 51.82 51.82 90.00
Closest atoms and distances in Å follow each position.
Atoms (fractional coordinates):
Re 0.0000 0.0000 0.0000  4 Mn 2.43
Re 0.7500 0.2500 0.5000  4 Mn 2.43
Mn 0.6914 0.1250 0.2500  2 Re 2.43
Mn 0.0586 0.6250 0.2500  2 Re 2.43
Mn 0.3750 0.3086 0.7500  2 Re 2.43
Mn 0.8750 0.9414 0.7500  2 Re 2.43
La 0.5000 0.5000 0.0000  2 Re 2.93, 8 Mn 3.10-3.19
La 0.2500 0.7500 0.5000  2 Re 2.93, 8 Mn 3.10-3.19

Summary:
The value obtained for the energy of formation from the pure elements is 0.701 eV per atom. For the final energy, the calculation gives -8.23 eV per atom.



Entry 5:
An optimized crystal structure of LaMnRe2. Source: Alexandria, functional PBE.

a b c (Å): 4.5637 4.5637 4.5637
angles (deg): 60.00 60.00 60.00
Closest atoms and distances in Å follow each position.
Atoms (fractional coordinates):
Re 0.2500 0.2500 0.2500  4 Mn 2.79, 4 La 2.79
Re 0.7500 0.7500 0.7500  4 Mn 2.79, 4 La 2.79
Mn 0.0000 0.0000 0.0000  8 Re 2.79
La 0.5000 0.5000 0.5000  8 Re 2.79

Summary:
The value obtained for the energy of formation from the pure elements is 0.852 eV per atom. For the final energy, the calculation gives -8.90 eV per atom.



Entry 6:
An optimized crystal structure of LaMn2Re. Source: Alexandria, functional PBE.

a b c (Å): 4.5516 4.5516 4.5516
angles (deg): 60.00 60.00 60.00
Closest atoms and distances in Å follow each position.
Atoms (fractional coordinates):
Re 0.5000 0.5000 0.5000  8 Mn 2.79
Mn 0.2500 0.2500 0.2500  4 La 2.79, 4 Re 2.79
Mn 0.7500 0.7500 0.7500  4 Re 2.79, 4 La 2.79
La 0.0000 0.0000 0.0000  8 Mn 2.79

Summary:
The value obtained for the energy of formation from the pure elements is 0.619 eV per atom. For the final energy, the calculation gives -8.31 eV per atom.



Entry 7:
An optimized crystal structure of La2MnRe. Source: Alexandria, functional PBE.

a b c (Å): 3.8560 3.1638 8.4860
angles (deg): 74.29 90.00 90.00
Closest atoms and distances in Å follow each position.
Atoms (fractional coordinates):
La 0.0000 0.9740 0.9142  1 Mn 2.89, 2 Re 3.06, 2 La 3.16
La 0.5000 0.2881 0.3386  1 Re 2.87, 2 Mn 2.99, 2 La 3.16
Mn 0.0000 0.4940 0.5768  2 Re 2.30
Re 0.5000 0.7439 0.6703  2 Mn 2.30

Summary:
The value obtained for the energy of formation from the pure elements is 0.323 eV per atom. For the final energy, the calculation gives -7.54 eV per atom.



Entry 8:
An optimized crystal structure of La2MnRe. Source: Alexandria, functional PBE.

a b c (Å): 3.1218 3.1218 9.2713
angles (deg): 90.00 90.00 90.00
Closest atoms and distances in Å follow each position.
Atoms (fractional coordinates):
La 0.0000 0.0000 0.9338  4 La 3.12, 4 Re 3.18, 1 Mn 3.47
La 0.5000 0.5000 0.3199  4 La 3.12, 4 Mn 3.14, 1 Re 3.40
Mn 0.0000 0.0000 0.5600  4 Re 2.50
Re 0.5000 0.5000 0.6863  4 Mn 2.50

Summary:
The value obtained for the energy of formation from the pure elements is 0.262 eV per atom. For the final energy, the calculation gives -7.61 eV per atom.



Entry 9:
An optimized crystal structure of LaMn3Re. Source: Alexandria, functional PBE.

a b c (Å): 4.4410 4.4410 4.4410
angles (deg): 90.00 90.00 90.00
Closest atoms and distances in Å follow each position.
Atoms (fractional coordinates):
Re 0.5000 0.5000 0.5000  12 Mn 3.14
Mn 0.0000 0.5000 0.0000  2 La 2.22
Mn 0.0000 0.0000 0.5000  2 La 2.22
Mn 0.5000 0.0000 0.0000  2 La 2.22
La 0.0000 0.0000 0.0000  6 Mn 2.22

Summary:
The value obtained for the energy of formation from the pure elements is 2.188 eV per atom. For the final energy, the calculation gives -6.79 eV per atom.



Entry 10:
An optimized crystal structure of LaMn2Re. Source: Alexandria, functional PBE.

a b c (Å): 4.1392 4.1392 5.9790
angles (deg): 69.79 69.79 60.00
Closest atoms and distances in Å follow each position.
Atoms (fractional coordinates):
La 0.2469 0.2469 0.2592  7 Mn 3.23-3.47, 4 Re 3.24-3.29
Mn 0.0458 0.0458 0.8628  3 Mn 2.52, 3 Re 2.64
Mn 0.7604 0.7604 0.7187  3 Re 2.41, 3 Mn 2.52
Re 0.4469 0.4469 0.6593  6 Mn 2.41-2.64

Summary:
The value obtained for the energy of formation from the pure elements is 0.284 eV per atom. For the final energy, the calculation gives -8.65 eV per atom.



Entry 11:
An optimized crystal structure of LaMn2Re. Source: Alexandria, functional PBE.

a b c (Å): 5.7367 5.7367 5.7367
angles (deg): 148.69 131.30 59.05
Closest atoms and distances in Å follow each position.
Atoms (fractional coordinates):
La 0.2682 0.7682 0.5000  6 Mn 2.87-3.20, 2 Re 3.03, 2 La 3.10
Mn 0.9846 0.9846 0.0000  4 Re 2.86, 4 Mn 3.07-3.10, 2 La 3.20
Mn 0.7186 0.2186 0.5000  2 Re 2.45
Re 0.5286 0.5286 0.0000  2 Mn 2.45

Summary:
The value obtained for the energy of formation from the pure elements is 0.570 eV per atom. For the final energy, the calculation gives -8.36 eV per atom.



Entry 12:
An optimized crystal structure of LaMn2Re. Source: Alexandria, functional PBE.

a b c (Å): 3.3029 4.7240 4.7001
angles (deg): 90.00 90.00 90.00
Closest atoms and distances in Å follow each position.
Atoms (fractional coordinates):
La 0.0000 0.5000 0.5000  4 Mn 2.87, 4 Re 2.88
Mn 0.0000 0.0000 0.0000  4 Re 2.87, 4 Mn 2.88
Mn 0.5000 0.5000 0.0000  4 La 2.87, 4 Mn 2.88
Re 0.5000 0.0000 0.5000  4 Mn 2.87, 4 La 2.88

Summary:
The value obtained for the energy of formation from the pure elements is 0.674 eV per atom. For the final energy, the calculation gives -8.25 eV per atom.



Entry 13:
An optimized crystal structure of LaMn2Re. Source: Alexandria, functional PBE.

a b c (Å): 3.0776 3.0776 7.5303
angles (deg): 90.00 90.00 90.00
Closest atoms and distances in Å follow each position.
Atoms (fractional coordinates):
La 0.5000 0.5000 0.7500  4 La 3.08, 8 Mn 3.21
Mn 0.0000 0.0000 0.0628  4 Re 2.59, 1 Mn 2.82
Mn 0.0000 0.0000 0.4372  4 Re 2.59, 1 Mn 2.82
Re 0.5000 0.5000 0.2500  8 Mn 2.59

Summary:
The value obtained for the energy of formation from the pure elements is 0.300 eV per atom. For the final energy, the calculation gives -8.63 eV per atom.



Entry 14:
An optimized crystal structure of La2MnRe. Source: Alexandria, functional PBE.

a b c (Å): 5.1492 5.1492 5.1492
angles (deg): 60.00 60.00 60.00
Closest atoms and distances in Å follow each position.
Atoms (fractional coordinates):
Re 0.5000 0.5000 0.5000  8 La 3.15
Mn 0.0000 0.0000 0.0000  8 La 3.15
La 0.2500 0.2500 0.2500  4 Mn 3.15, 4 Re 3.15
La 0.7500 0.7500 0.7500  4 Re 3.15, 4 Mn 3.15

Summary:
The value obtained for the energy of formation from the pure elements is 0.450 eV per atom. For the final energy, the calculation gives -7.42 eV per atom.



Entry 15:
An optimized crystal structure of LaMnRe2. Source: Alexandria, functional PBE.

a b c (Å): 2.8497 2.8497 9.4372
angles (deg): 90.00 90.00 112.58
Closest atoms and distances in Å follow each position.
Atoms (fractional coordinates):
La 0.0000 0.0000 0.4991  6 La 2.85-3.16, 2 Re 3.10, 2 Mn 3.17
Mn 0.5000 0.5000 0.7902  2 Re 2.49
Re 0.0000 0.0000 0.9946  2 Mn 2.49, 2 Re 2.62
Re 0.5000 0.5000 0.2162  6 Re 2.62-2.85

Summary:
The value obtained for the energy of formation from the pure elements is 0.559 eV per atom. For the final energy, the calculation gives -9.19 eV per atom.